No. 1
Density functional theory data (PBE-GGA) for a geometry-optimized Be3P structure.

Values from the calculation:
Raw total energy, eV per atom: -3.77
Calculated formation energy, kJ/mol of formula units: 145
DOS at the Fermi energy, states/eV/atom: 0.31
Energy above the lowest structure with this stoichiometry, eV per formula unit: 0.67
Spin magnetization, μB/atom: 0.000

Cell lengths 2.633, 2.633, 20.491 Å; angles 90.00, 90.00, 120.00 degrees
Atoms (fractional coordinates):
Be (0.000, 0.000, 0.000)
Be (0.000, 0.000, 0.250)
Be (0.000, 0.000, 0.750)
Be (0.333, 0.667, 0.417)
Be (0.333, 0.667, 0.667)
Be (0.333, 0.667, 0.916)
Be (0.667, 0.333, 0.084)
Be (0.667, 0.333, 0.333)
Be (0.667, 0.333, 0.583)
P (0.000, 0.000, 0.500)
P (0.333, 0.667, 0.167)
P (0.667, 0.333, 0.833)


No. 2
Density functional theory data (PBE-GGA) for a geometry-optimized Tb6SmHoTh2 structure.

Values from the calculation:
Raw total energy, eV per atom: -5.04
Calculated formation energy, kJ/mol of formula units: 143
DOS at the Fermi energy, states/eV/atom: 1.40
Spin magnetization, μB/atom: 0.000

Cell lengths 8.667, 8.667, 10.051 Å; angles 96.01, 96.01, 117.80 degrees
Atoms (fractional coordinates):
Tb (0.021, 0.569, 0.178)
Tb (0.111, 0.737, 0.551)
Tb (0.263, 0.889, 0.949)
Tb (0.307, 0.511, 0.383)
Tb (0.431, 0.979, 0.322)
Tb (0.489, 0.693, 0.117)
Tb (0.511, 0.307, 0.883)
Tb (0.569, 0.021, 0.678)
Tb (0.693, 0.489, 0.617)
Tb (0.737, 0.111, 0.051)
Tb (0.889, 0.263, 0.449)
Tb (0.979, 0.431, 0.822)
Sm (0.010, 0.990, 0.250)
Sm (0.990, 0.010, 0.750)
Ho (0.405, 0.595, 0.750)
Ho (0.595, 0.405, 0.250)
Th (0.182, 0.276, 0.042)
Th (0.276, 0.182, 0.542)
Th (0.724, 0.818, 0.458)
Th (0.818, 0.724, 0.958)


No. 3
Density functional theory data (PBE-GGA) for a geometry-optimized BaPHS2 structure.

Values from the calculation:
Raw total energy, eV per atom: -2.60
DOS at the Fermi energy, states/eV/atom: 2.17
Energy above the lowest structure with this stoichiometry, eV per formula unit: 6.53
Spin magnetization, μB/atom: 0.597

Cell lengths 6.147, 6.147, 6.252 Å; angles 90.00, 90.00, 90.00 degrees
Atoms (fractional coordinates):
Ba (0.000, 0.000, 0.000)
P (0.000, 0.000, 0.500)
H (0.500, 0.500, 0.500)
S (0.000, 0.500, 0.000)
S (0.500, 0.000, 0.000)


No. 4
Density functional theory data (PBE-GGA) for a geometry-optimized LiPrGaIr structure.

Values from the calculation:
Raw total energy, eV per atom: -5.06
Calculated formation energy, kJ/mol of formula units: -158
DOS at the Fermi energy, states/eV/atom: 0.88
Energy above the lowest structure with this stoichiometry, eV per formula unit: 0.52
Spin magnetization, μB/atom: 0.000

Cell lengths 6.714, 6.714, 6.714 Å; angles 90.00, 90.00, 90.00 degrees
Atoms (fractional coordinates):
Li (0.000, 0.000, 0.000)
Li (0.000, 0.500, 0.500)
Li (0.500, 0.000, 0.500)
Li (0.500, 0.500, 0.000)
Pr (0.250, 0.250, 0.750)
Pr (0.250, 0.750, 0.250)
Pr (0.750, 0.250, 0.250)
Pr (0.750, 0.750, 0.750)
Ga (0.250, 0.250, 0.250)
Ga (0.250, 0.750, 0.750)
Ga (0.750, 0.250, 0.750)
Ga (0.750, 0.750, 0.250)
Ir (0.000, 0.000, 0.500)
Ir (0.000, 0.500, 0.000)
Ir (0.500, 0.000, 0.000)
Ir (0.500, 0.500, 0.500)


No. 5
Density functional theory data (PBE-GGA) for a geometry-optimized Tb8Sm5Cd structure.

Values from the calculation:
Raw total energy, eV per atom: -4.20
Calculated formation energy, kJ/mol of formula units: 266
DOS at the Fermi energy, states/eV/atom: 1.24
Spin magnetization, μB/atom: 0.000

Cell lengths 8.445, 8.445, 8.445 Å; angles 110.43, 110.43, 107.57 degrees
Atoms (fractional coordinates):
Tb (0.184, 0.410, 0.603)
Tb (0.331, 0.227, 0.241)
Tb (0.419, 0.816, 0.225)
Tb (0.590, 0.194, 0.775)
Tb (0.773, 0.015, 0.105)
Tb (0.806, 0.581, 0.397)
Tb (0.910, 0.669, 0.895)
Tb (0.985, 0.090, 0.759)
Sm (0.070, 0.460, 0.191)
Sm (0.120, 0.930, 0.390)
Sm (0.270, 0.880, 0.809)
Sm (0.540, 0.730, 0.610)
Sm (0.750, 0.250, 0.500)
Cd (0.500, 0.500, 0.000)


No. 6
Density functional theory data (PBE-GGA) for a geometry-optimized SrYSc2Os structure.

Values from the calculation:
Raw total energy, eV per atom: -6.48
Calculated formation energy, kJ/mol of formula units: -33
DOS at the Fermi energy, states/eV/atom: 0.97
Spin magnetization, μB/atom: 0.000

Cell lengths 5.201, 5.201, 5.483 Å; angles 90.00, 90.00, 90.00 degrees
Atoms (fractional coordinates):
Sr (0.000, 0.000, 0.000)
Y (0.500, 0.500, 0.000)
Sc (0.000, 0.500, 0.500)
Sc (0.500, 0.000, 0.500)
Os (0.500, 0.500, 0.500)